Record 1
La2HgPdPt (PBE-GGA, optimized geometry); total DFT energy (no corrections) = -5.07 eV/atom
1.0
-1.210 -4.249 -0.511
6.295 -1.208 -4.861
0.563 -1.182 8.499
La Hg Pd Pt
4 2 2 2
direct
0.750 0.759 0.655
0.750 0.731 0.061
0.250 0.241 0.345
0.250 0.269 0.939
0.250 0.815 0.385
0.750 0.185 0.615
0.250 0.479 0.737
0.750 0.521 0.263
0.250 0.872 0.925
0.750 0.128 0.075

---

Record 2
AgSn2Ge2 (PBE-GGA, optimized geometry); total DFT energy (no corrections) = -3.81 eV/atom
1.0
3.676 0.000 0.000
0.000 3.676 0.000
1.838 1.838 8.631
Ge Sn Ag
2 2 1
direct
0.750 0.250 0.500
0.250 0.750 0.500
0.401 0.401 0.199
0.599 0.599 0.801
0.000 0.000 0.000

---

Record 3
SrScIrF2 (PBE-GGA, optimized geometry); E_form (uncorrected) = -59 kJ per mole of atoms
1.0
4.909 0.000 0.000
0.000 4.721 0.000
0.000 0.000 4.909
Sc Sr Ir F
1 1 1 2
direct
0.000 0.500 0.000
0.500 0.500 0.500
0.000 0.000 0.000
0.000 0.000 0.500
0.500 0.000 0.000